DFT (meta-GGA SCAN) results for CsPd2Se at its PBEsol-relaxed geometry.

Cell lengths 8.746, 8.746, 8.746 Å; angles 143.94, 143.94, 51.92 degrees
Positions (direct):
Cs1 0.375 0.625 0.750
Cs2 0.625 0.375 0.250
Pd1 0.000 0.000 0.000
Pd2 0.000 0.000 0.500
Pd3 0.000 0.500 0.000
Pd4 0.500 0.000 0.500
Se1 0.125 0.875 0.250
Se2 0.875 0.125 0.750

Output
Calculated density in g/cm³: 6.12
Uncorrected energy in eV per atom: -31.384
Formation energy from raw total energies in eV per atom: -0.525